# 1
{
  "formula": "HoTmOs",
  "functional": "PBE",
  "state": "relaxed",
  "delta_e_f_ev_per_atom": -0.277,
  "lattice_angstrom": [[7.364, 0.000, 0.000], [0.000, 4.306, 0.000], [0.000, 0.000, 8.800]],
  "species": ["Os", "Os", "Os", "Os", "Tm", "Tm", "Tm", "Tm", "Ho", "Ho", "Ho", "Ho"],
  "fractional_positions": [[0.749, 0.250, 0.118], [0.751, 0.750, 0.618], [0.249, 0.250, 0.382], [0.251, 0.750, 0.882], [0.479, 0.250, 0.664], [0.021, 0.750, 0.164], [0.979, 0.250, 0.836], [0.521, 0.750, 0.336], [0.852, 0.250, 0.431], [0.648, 0.750, 0.931], [0.352, 0.250, 0.069], [0.148, 0.750, 0.569]]
}

***

# 2
{
  "formula": "HoTmOs",
  "functional": "PBE",
  "state": "relaxed",
  "delta_e_f_ev_per_atom": 0.679,
  "lattice_angstrom": [[0.000, 3.311, 3.311], [3.311, 0.000, 3.311], [3.311, 3.311, 0.000]],
  "species": ["Os", "Ho", "Tm"],
  "fractional_positions": [[0.750, 0.750, 0.750], [0.250, 0.250, 0.250], [0.000, 0.000, 0.000]]
}

***

# 3
{
  "formula": "HoZrOs",
  "functional": "PBE",
  "state": "relaxed",
  "delta_e_f_ev_per_atom": 0.498,
  "lattice_angstrom": [[-3.173, -1.909, 2.710], [-4.264, -0.653, -1.566], [-1.501, -4.249, -0.866]],
  "species": ["Os", "Ho", "Zr"],
  "fractional_positions": [[0.750, 0.750, 0.750], [0.250, 0.250, 0.250], [0.000, 0.000, 0.000]]
}

***

# 4
{
  "formula": "Ho2P",
  "functional": "PBE",
  "state": "relaxed",
  "lattice_angstrom": [[4.269, 2.465, 6.972], [-4.269, 2.465, 6.972], [0.000, -4.930, 6.972]],
  "species": ["P", "P", "Ho", "Ho", "Ho", "Ho"],
  "fractional_positions": [[0.500, 0.500, 0.500], [0.250, 0.250, 0.250], [0.875, 0.375, 0.375], [0.375, 0.375, 0.375], [0.375, 0.375, 0.875], [0.375, 0.875, 0.375]]
}

***

# 5
{
  "formula": "HoP",
  "functional": "PBE",
  "state": "relaxed",
  "lattice_angstrom": [[2.690, -0.138, 3.508], [2.580, 3.465, 0.947], [-0.863, 2.496, 3.548]],
  "species": ["P", "Ho"],
  "fractional_positions": [[0.250, 0.250, 0.250], [0.000, 0.000, 0.000]]
}

***

# 6
{
  "formula": "Ho3P11",
  "functional": "PBE",
  "state": "relaxed",
  "lattice_angstrom": [[6.478, -3.712, 0.000], [6.478, 3.712, 0.000], [-1.186, 0.000, 6.011]],
  "species": ["P", "P", "P", "P", "P", "P", "P", "P", "P", "P", "P", "Ho", "Ho", "Ho"],
  "fractional_positions": [[0.201, 0.689, 0.868], [0.689, 0.201, 0.868], [0.217, 0.718, 0.513], [0.062, 0.376, 0.342], [0.551, 0.551, 0.983], [0.925, 0.377, 0.630], [0.868, 0.868, 0.410], [0.377, 0.925, 0.630], [0.718, 0.217, 0.513], [0.376, 0.062, 0.342], [0.179, 0.179, 0.863], [0.766, 0.766, 0.907], [0.033, 0.033, 0.158], [0.382, 0.382, 0.174]]
}

***

# 7
{
  "formula": "Ho2P",
  "functional": "PBE",
  "state": "relaxed",
  "lattice_angstrom": [[-1.708, -5.306, 2.080], [1.307, -1.565, 5.590], [-4.318, -0.347, 4.079]],
  "species": ["Ho", "Ho", "Ho", "Ho", "P", "P"],
  "fractional_positions": [[0.625, 0.625, 0.625], [0.625, 0.125, 0.625], [0.125, 0.625, 0.625], [0.625, 0.625, 0.125], [0.000, 0.000, 0.000], [0.250, 0.250, 0.250]]
}

***

# 8
{
  "formula": "HoP",
  "functional": "PBE",
  "state": "relaxed",
  "lattice_angstrom": [[3.884, 0.000, 0.000], [-1.942, 3.364, 0.000], [0.000, 0.000, 3.547]],
  "species": ["P", "Ho"],
  "fractional_positions": [[0.333, 0.667, 0.250], [0.667, 0.333, 0.750]]
}

***

# 9
{
  "formula": "HoP",
  "functional": "PBE",
  "state": "relaxed",
  "lattice_angstrom": [[-2.681, -1.976, 0.904], [1.560, -2.750, -1.383], [1.512, -0.666, 3.029]],
  "species": ["Ho", "P"],
  "fractional_positions": [[0.000, 0.000, 0.000], [0.500, 0.500, 0.500]]
}

***

# 10
{
  "formula": "Ho3P2",
  "functional": "PBE",
  "state": "relaxed",
  "lattice_angstrom": [[3.416, -1.972, 0.000], [3.416, 1.972, 0.000], [-0.002, 0.000, 9.364]],
  "species": ["P", "P", "Ho", "Ho", "Ho"],
  "fractional_positions": [[0.333, 0.333, 0.676], [0.667, 0.667, 0.324], [0.667, 0.667, 0.835], [0.333, 0.333, 0.165], [0.000, 0.000, 0.500]]
}

***

# 11
{
  "formula": "HoP",
  "functional": "PBE",
  "state": "relaxed",
  "lattice_angstrom": [[-1.465, 5.749, -1.567], [-5.167, -0.998, 1.171], [0.830, 1.575, 5.004]],
  "species": ["Ho", "Ho", "Ho", "Ho", "P", "P", "P", "P"],
  "fractional_positions": [[0.250, 0.000, 0.844], [0.750, 0.000, 0.156], [0.500, 0.500, 0.500], [0.000, 0.500, 0.500], [0.250, 0.000, 0.348], [0.250, 0.500, 0.972], [0.750, 0.000, 0.652], [0.750, 0.500, 0.028]]
}

***

# 12
{
  "formula": "HoP2",
  "functional": "PBE",
  "state": "relaxed",
  "lattice_angstrom": [[-6.359, 5.801, -1.990], [-1.433, 6.957, 5.253], [2.132, 8.121, -2.746]],
  "species": ["P", "P", "P", "P", "Ho", "Ho"],
  "fractional_positions": [[0.375, 0.375, 0.875], [0.375, 0.875, 0.375], [0.875, 0.375, 0.375], [0.375, 0.375, 0.375], [0.250, 0.250, 0.250], [0.500, 0.500, 0.500]]
}

***

# 13
{
  "formula": "HoP",
  "functional": "PBE",
  "state": "relaxed",
  "lattice_angstrom": [[0.000, 2.820, 2.820], [2.820, 0.000, 2.820], [2.820, 2.820, 0.000]],
  "species": ["Ho", "P"],
  "fractional_positions": [[0.000, 0.000, 0.000], [0.500, 0.500, 0.500]]
}

***

# 14
{
  "formula": "HoP2",
  "functional": "PBE",
  "state": "relaxed",
  "lattice_angstrom": [[-0.531, -3.239, 4.210], [2.331, 1.247, 4.638], [-2.980, 1.504, 4.166]],
  "species": ["P", "P", "P", "P", "Ho", "Ho"],
  "fractional_positions": [[0.625, 0.625, 0.125], [0.625, 0.125, 0.625], [0.125, 0.625, 0.625], [0.625, 0.625, 0.625], [0.000, 0.000, 0.000], [0.250, 0.250, 0.250]]
}

***

# 15
{
  "formula": "Ho3PaP4",
  "functional": "PBE",
  "state": "relaxed",
  "lattice_angstrom": [[3.969, -5.613, 0.000], [3.969, 5.613, 0.000], [0.000, 0.000, 3.980]],
  "species": ["P", "P", "P", "P", "Ho", "Ho", "Ho", "Pa"],
  "fractional_positions": [[0.753, 0.247, 0.000], [0.752, 0.752, 0.500], [0.247, 0.753, 0.000], [0.248, 0.248, 0.500], [0.500, 0.500, 0.000], [0.500, 0.000, 0.500], [0.000, 0.500, 0.500], [0.000, 0.000, 0.000]]
}

***

# 16
{
  "formula": "Ho2PPb",
  "functional": "PBE",
  "state": "relaxed",
  "lattice_angstrom": [[-3.446, 1.845, -0.179], [-2.717, -0.646, 2.741], [4.987, 5.526, 3.470]],
  "species": ["Ho", "Ho", "P", "Pb"],
  "fractional_positions": [[0.768, 0.768, 0.803], [0.232, 0.232, 0.197], [0.500, 0.500, 0.000], [0.000, 0.000, 0.500]]
}

***

# 17
{
  "formula": "Ho5P12Pd19",
  "functional": "PBE",
  "state": "relaxed",
  "lattice_angstrom": [[12.999, 0.000, 0.000], [-6.500, 11.258, 0.000], [0.000, 0.000, 3.994]],
  "species": ["P", "P", "P", "P", "P", "P", "P", "P", "P", "P", "P", "P", "Pd", "Pd", "Pd", "Pd", "Pd", "Pd", "Pd", "Pd", "Pd", "Pd", "Pd", "Pd", "Pd", "Pd", "Pd", "Pd", "Pd", "Pd", "Pd", "Ho", "Ho", "Ho", "Ho", "Ho"],
  "fractional_positions": [[0.827, 0.311, 0.500], [0.000, 0.176, 0.000], [0.311, 0.827, 0.500], [0.173, 0.484, 0.500], [0.484, 0.173, 0.500], [0.000, 0.640, 0.000], [0.516, 0.689, 0.500], [0.640, 0.000, 0.000], [0.689, 0.516, 0.500], [0.176, 0.000, 0.000], [0.824, 0.824, 0.000], [0.360, 0.360, 0.000], [0.132, 0.638, 0.500], [0.493, 0.362, 0.500], [0.000, 0.456, 0.000], [0.378, 0.184, 0.000], [0.288, 0.000, 0.500], [0.816, 0.193, 0.000], [0.807, 0.622, 0.000], [0.000, 0.000, 0.000], [0.184, 0.378, 0.000], [0.712, 0.712, 0.500], [0.868, 0.507, 0.500], [0.456, 0.000, 0.000], [0.000, 0.288, 0.500], [0.507, 0.868, 0.500], [0.193, 0.816, 0.000], [0.362, 0.493, 0.500], [0.638, 0.132, 0.500], [0.622, 0.807, 0.000], [0.544, 0.544, 0.000], [0.187, 0.187, 0.500], [0.000, 0.813, 0.500], [0.813, 0.000, 0.500], [0.333, 0.667, 0.000], [0.667, 0.333, 0.000]]
}

***

# 18
{
  "formula": "HoP2Pd8",
  "functional": "PBE",
  "state": "relaxed",
  "lattice_angstrom": [[5.955, -2.031, 0.000], [5.955, 2.031, 0.000], [-5.660, 0.000, 7.398]],
  "species": ["Pd", "Pd", "Pd", "Pd", "Pd", "Pd", "Pd", "Pd", "Ho", "P", "P"],
  "fractional_positions": [[0.838, 0.838, 0.355], [0.162, 0.162, 0.645], [0.231, 0.231, 0.093], [0.179, 0.179, 0.349], [0.474, 0.474, 0.630], [0.526, 0.526, 0.370], [0.821, 0.821, 0.651], [0.769, 0.769, 0.907], [0.500, 0.500, 0.000], [0.940, 0.940, 0.208], [0.060, 0.060, 0.792]]
}

***

# 19
{
  "formula": "HoP2Pd3",
  "functional": "PBE",
  "state": "relaxed",
  "lattice_angstrom": [[4.072, 0.000, 0.000], [-2.036, 3.527, 0.000], [0.000, 0.000, 6.983]],
  "species": ["P", "P", "Pd", "Pd", "Pd", "Ho"],
  "fractional_positions": [[0.333, 0.667, 0.747], [0.667, 0.333, 0.253], [0.000, 0.000, 0.500], [0.667, 0.333, 0.704], [0.333, 0.667, 0.296], [0.000, 0.000, 0.000]]
}

***

# 20
{
  "formula": "HoPuP2",
  "functional": "PBE",
  "state": "relaxed",
  "lattice_angstrom": [[1.030, 2.666, -2.793], [-2.806, 2.235, -1.760], [1.317, 2.872, 6.085]],
  "species": ["Pu", "P", "P", "Ho"],
  "fractional_positions": [[0.500, 0.500, 0.500], [0.751, 0.751, 0.254], [0.249, 0.249, 0.746], [0.000, 0.000, 0.000]]
}

***

# 21
{
  "formula": "HoPS",
  "functional": "PBE",
  "state": "relaxed",
  "lattice_angstrom": [[-3.485, 4.022, 0.186], [-3.975, -3.465, 0.449], [1.448, 0.488, 16.599]],
  "species": ["Ho", "Ho", "Ho", "Ho", "Ho", "Ho", "Ho", "Ho", "P", "P", "P", "P", "P", "P", "P", "P", "S", "S", "S", "S", "S", "S", "S", "S"],
  "fractional_positions": [[0.984, 0.750, 0.362], [0.016, 0.250, 0.638], [0.514, 0.750, 0.646], [0.986, 0.250, 0.146], [0.486, 0.250, 0.354], [0.516, 0.250, 0.862], [0.014, 0.750, 0.854], [0.484, 0.750, 0.138], [0.791, 0.965, 0.997], [0.709, 0.465, 0.497], [0.209, 0.035, 0.003], [0.209, 0.465, 0.003], [0.791, 0.535, 0.997], [0.291, 0.965, 0.503], [0.709, 0.035, 0.497], [0.291, 0.535, 0.503], [0.489, 0.250, 0.185], [0.985, 0.750, 0.189], [0.511, 0.750, 0.815], [0.515, 0.250, 0.689], [0.011, 0.750, 0.685], [0.989, 0.250, 0.315], [0.015, 0.250, 0.811], [0.485, 0.750, 0.311]]
}

***

# 22
{
  "formula": "HoPS4",
  "functional": "PBE",
  "state": "relaxed",
  "lattice_angstrom": [[-5.364, 5.364, 9.509], [5.364, -5.364, 9.509], [5.364, 5.364, -9.509]],
  "species": ["S", "S", "S", "S", "S", "S", "S", "S", "S", "S", "S", "S", "S", "S", "S", "S", "S", "S", "S", "S", "S", "S", "S", "S", "S", "S", "S", "S", "S", "S", "S", "S", "P", "P", "P", "P", "P", "P", "P", "P", "Ho", "Ho", "Ho", "Ho", "Ho", "Ho", "Ho", "Ho"],
  "fractional_positions": [[0.991, 0.041, 0.777], [0.150, 0.469, 0.188], [0.031, 0.350, 0.812], [0.959, 0.735, 0.950], [0.791, 0.515, 0.550], [0.039, 0.850, 0.319], [0.459, 0.509, 0.223], [0.219, 0.531, 0.819], [0.469, 0.289, 0.688], [0.719, 0.900, 0.688], [0.281, 0.961, 0.812], [0.650, 0.461, 0.681], [0.711, 0.400, 0.181], [0.781, 0.969, 0.319], [0.265, 0.214, 0.223], [0.286, 0.235, 0.777], [0.531, 0.719, 0.681], [0.786, 0.009, 0.050], [0.485, 0.036, 0.277], [0.259, 0.536, 0.550], [0.100, 0.789, 0.819], [0.969, 0.281, 0.181], [0.759, 0.209, 0.723], [0.291, 0.741, 0.277], [0.765, 0.541, 0.050], [0.539, 0.219, 0.188], [0.600, 0.781, 0.312], [0.985, 0.709, 0.450], [0.211, 0.031, 0.312], [0.464, 0.015, 0.723], [0.491, 0.714, 0.950], [0.964, 0.241, 0.450], [0.663, 0.375, 0.788], [0.125, 0.837, 0.212], [0.625, 0.413, 0.288], [0.087, 0.875, 0.712], [0.163, 0.375, 0.288], [0.587, 0.875, 0.212], [0.625, 0.913, 0.788], [0.125, 0.337, 0.712], [0.500, 0.000, 0.500], [0.500, 0.500, 0.000], [0.250, 0.250, 0.000], [0.000, 0.500, 0.500], [0.750, 0.750, 0.000], [0.750, 0.250, 0.500], [0.000, 0.000, 0.000], [0.250, 0.750, 0.500]]
}

***

Magnetic moment values (in μB per atom) by entry order: 0.002 0.001 0.001 0.473 0.000 0.001 0.002 0.001 0.000 0.001 0.001 1.000 0.000 0.000 0.003 0.003 0.001 0.000 0.000 1.228 0.000 0.000.
Raw total energy values (in eV per atom) by entry order: -7.04 -6.08 -7.62 -4.29 -6.06 -5.62 -4.50 -6.27 -6.05 -6.17 -5.88 -4.37 -6.61 -5.36 -7.16 -5.62 -5.97 -5.79 -5.93 -8.82 -6.27 -5.44.